No. 1
A plane-wave DFT calculation with PBE was carried out for NbTc4B2 after structural relaxation.

Results
The calculation puts the energy of formation from the pure elements at -0.05 eV per atom.

Cell: 6.732 6.732 3.729 Å, 90.00 90.00 147.60°
Fractional coordinates of all 7 atoms:
Nb 0.000 0.000 0.000
Tc 0.173 0.827 0.500
Tc 0.324 0.676 0.000
Tc 0.676 0.324 0.000
Tc 0.827 0.173 0.500
B 0.432 0.568 0.500
B 0.568 0.432 0.500

=====

No. 2
A plane-wave DFT calculation with PBE was carried out for LiHg4Pd3 after structural relaxation.

Results
The calculation puts the energy of formation from the pure elements at -0.19 eV per atom.

Cell: 7.692 7.692 7.692 Å, 157.32 117.16 67.72°
Fractional coordinates of all 8 atoms:
Li 0.000 0.000 0.000
Hg 0.153 0.866 0.287
Hg 0.420 0.134 0.287
Hg 0.580 0.866 0.713
Hg 0.847 0.134 0.713
Pd 0.181 0.681 0.500
Pd 0.500 0.500 0.000
Pd 0.819 0.319 0.500

=====

No. 3
A plane-wave DFT calculation with PBE was carried out for PHIrO2 after structural relaxation.

Results
For the total DFT energy (no corrections), the calculation gives -4.68 eV/atom.

Cell: 3.934 3.934 2.989 Å, 90.00 90.00 90.00°
Fractional coordinates of all 5 atoms:
P 0.000 0.000 0.000
H 0.000 0.000 0.500
Ir 0.500 0.500 0.000
O 0.000 0.500 0.500
O 0.500 0.000 0.500

=====

| no. | magnetization (μB per cell) |
| --- | --- |
| 1 | 0.00 |
| 2 | 0.00 |
| 3 | 0.00 |